(i)
TcMo7 (GGA-PBE, optimized geometry); V = 15.7 Å³ per atom
1.0
-4.424 -4.363 1.111
3.958 -3.043 3.861
-2.133 3.413 4.862
Tc Mo
2 14
Cartesian
-0.680 -6.017 4.958
-1.919 2.024 4.876
-1.089 -3.361 4.931
-3.062 -1.831 3.007
1.112 -1.174 4.377
-0.854 0.344 2.439
-2.659 -4.522 3.023
1.542 -3.861 4.401
-0.445 -2.346 2.482
-2.153 -1.647 7.352
-4.141 -0.132 5.432
0.060 0.529 6.811
-1.744 -4.337 7.395
-3.710 -2.819 5.456
0.464 -2.162 6.826
-1.510 -0.632 4.903

---

(ii)
TcMo7 (GGA-PBE, optimized geometry); V = 15.9 Å³ per atom
1.0
-4.049 0.655 3.871
-4.991 -2.534 -0.684
-1.448 -4.319 3.324
Tc Mo
1 7
Cartesian
0.000 0.000 0.000
-3.220 -3.427 1.320
-2.748 -1.832 3.597
-4.520 -0.939 1.594
-0.724 -2.159 1.662
-2.496 -1.267 -0.342
-2.024 0.328 1.935
-5.244 -3.099 3.256

---

Which structure is most stable? (i), by 327 meV/atom over the runner-up.

---

(i)
Tc4Mo3 (GGA-PBE, optimized geometry); V = 15.6 Å³ per atom
1.0
0.851 3.666 -3.312
-1.660 1.112 4.598
4.746 0.366 1.625
Tc Mo
4 3
Cartesian
1.295 0.100 0.443
3.451 0.266 1.181
2.387 2.997 0.137
1.550 2.146 2.774
-0.830 0.556 2.299
-0.404 2.389 0.643
0.426 1.833 -1.656

---

(ii)
Tc4Mo3 (GGA-PBE, optimized geometry); V = 15.3 Å³ per atom
1.0
-6.201 -6.140 7.013
-8.985 -2.860 6.035
6.819 3.334 -8.229
Tc Mo
4 3
Cartesian
-12.972 -7.688 11.145
-8.628 -5.113 7.413
-6.559 -3.887 5.635
-2.215 -1.312 1.903
0.000 0.000 0.000
-10.830 -6.418 9.304
-4.357 -2.582 3.743

---

Which structure is most stable? (ii), by 141 meV/atom over the runner-up.